# 1
# La2RhAu GGA-PBEsol optimized geometry
# Fermi-level density of states = 1.940 states/eV/f.u.
# energy of formation = -0.67 eV per atom
data_La2RhAu
_chemical_formula_sum 'La6 Rh3 Au3'
_symmetry_space_group_name_H-M 'R -3 m'
_symmetry_Int_Tables_number 166
_symmetry_space_group_name_Hall '-R 3 2"'
_cell_length_a 4.1326
_cell_length_b 4.1326
_cell_length_c 21.3700
_cell_angle_alpha 90.00
_cell_angle_beta 90.00
_cell_angle_gamma 120.00
loop_
_atom_site_label
_atom_site_fract_x
_atom_site_fract_y
_atom_site_fract_z
_atom_site_occupancy
La1 0.0000 0.0000 0.2409 1
Rh1 0.0000 0.0000 0.5000 1
Au1 0.0000 0.0000 0.0000 1



# 2
# Ba2LaFe GGA-PBEsol optimized geometry
# Fermi-level density of states = 7.421 states/eV/f.u.
# energy of formation = 0.78 eV per atom
data_Ba2LaFe
_chemical_formula_sum 'Ba8 La4 Fe4'
_symmetry_space_group_name_H-M 'F m -3 m'
_symmetry_Int_Tables_number 225
_symmetry_space_group_name_Hall '-F 4 2 3'
_cell_length_a 8.010
_cell_length_b 8.010
_cell_length_c 8.010
_cell_angle_alpha 90.00
_cell_angle_beta 90.00
_cell_angle_gamma 90.00
loop_
_atom_site_label
_atom_site_fract_x
_atom_site_fract_y
_atom_site_fract_z
_atom_site_occupancy
Ba1 0.250 0.250 0.250 1
La1 0.000 0.000 0.000 1
Fe1 0.000 0.000 0.500 1



# 3
# In2HgTe4 GGA-PBEsol optimized geometry
# formation energy (no corrections) = -255 meV/atom
data_In2HgTe4
_chemical_formula_sum 'In4 Hg2 Te8'
_symmetry_space_group_name_H-M 'I -4'
_symmetry_Int_Tables_number 82
_symmetry_space_group_name_Hall 'I -4'
_cell_length_a 6.218
_cell_length_b 6.218
_cell_length_c 12.373
_cell_angle_alpha 90.00
_cell_angle_beta 90.00
_cell_angle_gamma 90.00
loop_
_atom_site_label
_atom_site_fract_x
_atom_site_fract_y
_atom_site_fract_z
_atom_site_occupancy
In1 0.000 0.000 0.000 1
In2 0.000 0.500 0.250 1
Hg1 0.000 0.000 0.500 1
Te1 0.217 0.721 0.860 1